10
Lattice="4.141 -3.299 0.000 4.141 3.299 0.000 -0.072 0.000 3.740" Properties=species:S:1:pos:R:3 comment="Ni3AsH | Alexandria via LeMat-Bulk | PBE | relaxed" n_ef_per_ev_cell=5.2 de_polymorph_ev_per_fu=0.05 crystal_system=monoclinic pbc="T T T"
Ni 0.877 0.000 0.973
Ni 3.117 1.347 0.972
Ni 5.093 1.347 2.768
Ni 3.117 -1.347 0.972
Ni 5.093 -1.347 2.768
Ni 7.333 0.000 2.767
As 2.441 0.000 2.821
As 5.769 0.000 0.919
H 4.141 2.237 0.000
H 4.141 -2.237 0.000

***

8
Lattice="-2.240 2.240 3.902 2.240 -2.240 3.902 2.240 2.240 -3.902" Properties=species:S:1:pos:R:3 comment="NiAsH2 | Alexandria via LeMat-Bulk | PBE | relaxed" n_ef_per_ev_cell=3.1 de_polymorph_ev_per_fu=0.00 crystal_system=tetragonal pbc="T T T"
Ni 0.000 0.000 0.000
Ni 0.000 2.240 1.951
As 2.240 0.000 1.951
As 0.000 0.000 3.902
H 0.536 1.120 0.975
H -1.120 1.704 2.926
H -0.536 3.360 0.975
H 1.120 2.776 2.926

***

6
Lattice="4.277 -1.447 0.000 4.277 1.447 0.000 -1.806 0.000 5.470" Properties=species:S:1:pos:R:3 comment="NiAsH | Alexandria via LeMat-Bulk | PBE | relaxed" n_ef_per_ev_cell=2.5 de_polymorph_ev_per_fu=0.15 crystal_system=monoclinic pbc="T T T"
Ni 1.269 0.000 1.622
Ni 5.479 0.000 3.848
As -0.653 0.000 4.630
As 7.401 0.000 0.840
H 1.852 0.000 3.203
H 4.897 0.000 2.267

***

13
Lattice="3.599 0.000 0.000 0.000 3.599 0.000 0.000 0.000 9.726" Properties=species:S:1:pos:R:3 comment="Ni8As2H3 | Alexandria via LeMat-Bulk | PBE | relaxed" n_ef_per_ev_cell=4.4 de_polymorph_ev_per_fu=0.36 crystal_system=tetragonal pbc="T T T"
Ni 0.000 0.000 1.791
Ni 0.000 0.000 7.934
Ni 0.000 1.800 0.000
Ni 0.000 1.800 3.638
Ni 0.000 1.800 6.087
Ni 1.800 0.000 0.000
Ni 1.800 0.000 3.638
Ni 1.800 0.000 6.087
As 1.800 1.800 1.974
As 1.800 1.800 7.751
H 0.000 0.000 0.000
H 0.000 0.000 3.758
H 0.000 0.000 5.967

***

Density per entry: 8.2; 5.8; 6.6; 8.2 g/cm3